Below is a geometry-optimized KYBr2 structure, with properties calculated at the PBE-GGA level.

Summary:
For the energy above the lowest structure with this stoichiometry, the calculation gives 0 meV/atom. For the formation energy (no corrections), the calculation gives -1.214 eV/atom. The space group is No. 166.

Cell and atoms, written as POSCAR:
```
KYBr2
1.0
-5.942 -4.848 -5.244
-3.689 -7.624 -3.818
-6.630 -6.273 -1.735
Br K Y
2 1 1
direct
0.004 0.004 0.004
0.496 0.496 0.496
0.250 0.250 0.250
0.750 0.750 0.750
```

Below is a geometry-optimized KY2Br structure, with properties calculated at the PBE-GGA level.

Summary:
For the energy above the lowest structure with this stoichiometry, the calculation gives 718 meV/atom. For the formation energy (no corrections), the calculation gives 0.207 eV/atom. The space group is No. 141.

Cell and atoms, written as POSCAR:
```
KY2Br
1.0
6.171 0.000 0.000
0.000 6.171 0.000
3.085 3.085 9.981
Y K Br
4 2 2
direct
0.874 0.125 0.250
0.876 0.625 0.250
0.375 0.126 0.750
0.875 0.124 0.750
0.500 0.500 0.000
0.250 0.750 0.500
0.000 0.000 0.000
0.750 0.250 0.500
```

Below is a geometry-optimized KY2Br structure, with properties calculated at the PBE-GGA level.

Summary:
For the energy above the lowest structure with this stoichiometry, the calculation gives 288 meV/atom. For the formation energy (no corrections), the calculation gives -0.222 eV/atom. The space group is No. 166.

Cell and atoms, written as POSCAR:
```
KY2Br
1.0
11.984 0.030 0.018
11.410 3.664 0.018
11.410 1.802 3.191
Br K Y
1 1 2
direct
0.250 0.250 0.250
0.750 0.750 0.750
0.982 0.982 0.982
0.518 0.518 0.518
```

Below is a geometry-optimized K2YBr structure, with properties calculated at the PBE-GGA level.

Summary:
For the energy above the lowest structure with this stoichiometry, the calculation gives 617 meV/atom. For the formation energy (no corrections), the calculation gives 0.141 eV/atom. The space group is No. 216.

Cell and atoms, written as POSCAR:
```
K2YBr
1.0
-5.556 1.043 2.829
-1.768 -3.571 4.908
-0.171 2.478 5.813
Br K Y
1 2 1
direct
0.500 0.500 0.500
0.000 0.000 0.000
0.250 0.250 0.250
0.750 0.750 0.750
```

Below is a geometry-optimized KY2Br structure, with properties calculated at the PBE-GGA level.

Summary:
For the energy above the lowest structure with this stoichiometry, the calculation gives 623 meV/atom. For the formation energy (no corrections), the calculation gives 0.113 eV/atom. The space group is No. 65.

Cell and atoms, written as POSCAR:
```
KY2Br
1.0
-2.723 -6.507 0.828
6.894 1.518 -0.779
0.331 0.311 3.534
Br K Y
1 1 2
direct
0.500 0.000 0.500
0.000 0.500 0.500
0.000 0.000 0.000
0.500 0.500 0.000
```

Below is a geometry-optimized KYBr2 structure, with properties calculated at the PBE-GGA level.

Summary:
For the energy above the lowest structure with this stoichiometry, the calculation gives 259 meV/atom. For the formation energy (no corrections), the calculation gives -0.955 eV/atom. The space group is No. 122.

Cell and atoms, written as POSCAR:
```
KYBr2
1.0
7.448 0.000 0.000
0.000 7.448 0.000
3.724 3.724 6.095
Y K Br
2 2 4
direct
0.000 0.000 0.000
0.750 0.250 0.500
0.500 0.500 0.000
0.250 0.750 0.500
0.662 0.125 0.250
0.088 0.625 0.250
0.375 0.338 0.750
0.875 0.912 0.750
```

Below is a geometry-optimized K2YBr structure, with properties calculated at the PBE-GGA level.

Summary:
For the energy above the lowest structure with this stoichiometry, the calculation gives 149 meV/atom. For the formation energy (no corrections), the calculation gives -0.327 eV/atom. The space group is No. 44.

Cell and atoms, written as POSCAR:
```
K2YBr
1.0
-3.928 -2.794 -6.205
3.496 -0.523 -7.017
-0.808 -1.987 7.559
Br K Y
1 2 1
direct
0.269 0.769 0.500
0.054 0.054 0.000
0.738 0.238 0.500
0.439 0.439 0.000
```

Below is a geometry-optimized KY2Br structure, with properties calculated at the PBE-GGA level.

Summary:
For the energy above the lowest structure with this stoichiometry, the calculation gives 786 meV/atom. For the formation energy (no corrections), the calculation gives 0.275 eV/atom. The space group is No. 123.

Cell and atoms, written as POSCAR:
```
KY2Br
1.0
5.941 0.000 0.000
0.000 5.941 0.000
0.000 0.000 3.797
Br K Y
1 1 2
direct
0.500 0.000 0.500
0.000 0.500 0.500
0.000 0.000 0.000
0.500 0.500 0.000
```

Below is a geometry-optimized KY2Br structure, with properties calculated at the PBE-GGA level.

Summary:
For the energy above the lowest structure with this stoichiometry, the calculation gives 727 meV/atom. For the formation energy (no corrections), the calculation gives 0.216 eV/atom. The space group is No. 119.

Cell and atoms, written as POSCAR:
```
KY2Br
1.0
-5.327 2.051 -3.385
-1.047 -2.829 -5.912
1.267 -2.084 6.172
Br K Y
1 1 2
direct
0.500 0.500 0.000
0.750 0.250 0.500
0.000 0.000 0.000
0.250 0.750 0.500
```

Below is a geometry-optimized KYBr2 structure, with properties calculated at the PBE-GGA level.

Summary:
For the energy above the lowest structure with this stoichiometry, the calculation gives 99 meV/atom. For the formation energy (no corrections), the calculation gives -1.115 eV/atom. The space group is No. 44.

Cell and atoms, written as POSCAR:
```
KYBr2
1.0
8.276 -0.067 -0.001
6.358 5.298 0.001
-7.357 -2.503 2.846
Br K Y
2 1 1
direct
0.066 0.066 0.000
0.774 0.274 0.500
0.456 0.456 0.000
0.204 0.704 0.500
```

Below is a geometry-optimized K2YBr structure, with properties calculated at the PBE-GGA level.

Summary:
For the energy above the lowest structure with this stoichiometry, the calculation gives 451 meV/atom. For the formation energy (no corrections), the calculation gives -0.025 eV/atom. The space group is No. 47.

Cell and atoms, written as POSCAR:
```
K2YBr
1.0
-1.269 2.427 -2.877
-0.934 -5.011 -3.815
-6.093 -0.554 2.220
Br K Y
1 2 1
direct
0.000 0.500 0.500
0.000 0.000 0.000
0.500 0.500 0.000
0.500 0.000 0.500
```

Below is a geometry-optimized KYBr2 structure, with properties calculated at the PBE-GGA level.

Summary:
For the energy above the lowest structure with this stoichiometry, the calculation gives 145 meV/atom. For the formation energy (no corrections), the calculation gives -1.069 eV/atom. The space group is No. 71.

Cell and atoms, written as POSCAR:
```
KYBr2
1.0
6.715 -0.029 0.015
1.059 6.631 -0.015
-2.201 -5.286 3.508
Br K Y
2 1 1
direct
0.047 0.047 0.000
0.453 0.453 0.000
0.750 0.250 0.500
0.250 0.750 0.500
```